[1]
VASP calculation (PBE-GGA) on a relaxed GaTeN crystal.

Properties
- Volume: 132.5 Å³/cell
- Excess energy over the best structure of this formula in the dataset: 120.0 meV per atom
- Formation energy without anion corrections: 0.07 eV per atom
- Spin magnetization: 0.00 μB/cell
- Total energy: -0.175 hartree per atom

a b c (Å): 7.801 3.163 5.637
angles (deg): 90.00 107.69 90.00
Fractional coordinates of all 6 atoms:
Te 0.574 0.000 0.329
Te 0.574 0.500 0.829
Ga 0.100 0.000 0.071
Ga 0.100 0.500 0.571
N 0.090 0.000 0.397
N 0.090 0.500 0.897

---

[2]
VASP calculation (PBE-GGA) on a relaxed GaTe2N crystal.

Properties
- Volume: 77.4 Å³/cell
- Excess energy over the best structure of this formula in the dataset: 565.7 meV per atom
- Formation energy without anion corrections: 1.18 eV per atom
- Spin magnetization: 0.00 μB/cell
- Total energy: -0.119 hartree per atom

a b c (Å): 4.783 4.783 4.783
angles (deg): 60.00 60.00 60.00
Fractional coordinates of all 4 atoms:
Te 0.250 0.250 0.250
Te 0.750 0.750 0.750
Ga 0.500 0.500 0.500
N 0.000 0.000 0.000

---

[3]
VASP calculation (PBE-GGA) on a relaxed GaTeN2 crystal.

Properties
- Volume: 67.2 Å³/cell
- Excess energy over the best structure of this formula in the dataset: 342.8 meV per atom
- Formation energy without anion corrections: 0.89 eV per atom
- Spin magnetization: 0.00 μB/cell
- Total energy: -0.177 hartree per atom

a b c (Å): 6.280 6.280 6.280
angles (deg): 33.49 33.49 33.49
Fractional coordinates of all 4 atoms:
Te 0.500 0.500 0.500
Ga 0.000 0.000 0.000
N 0.896 0.896 0.896
N 0.104 0.104 0.104

---

Q: Which of these has the lowest formation energy without anion corrections?
A: GaTeN

---

Q: Which of these has the highest volume?
A: GaTeN

---

What did the first record say?
VASP calculation (PBE-GGA) on a relaxed GaTeN crystal.

Properties
- Volume: 132.5 Å³/cell
- Excess energy over the best structure of this formula in the dataset: 120.0 meV per atom
- Formation energy without anion corrections: 0.07 eV per atom
- Spin magnetization: 0.00 μB/cell
- Total energy: -0.175 hartree per atom

a b c (Å): 7.801 3.163 5.637
angles (deg): 90.00 107.69 90.00
Fractional coordinates of all 6 atoms:
Te 0.574 0.000 0.329
Te 0.574 0.500 0.829
Ga 0.100 0.000 0.071
Ga 0.100 0.500 0.571
N 0.090 0.000 0.397
N 0.090 0.500 0.897

---

Q: The highest formation energy without anion corrections belongs to which entry?
A: GaTe2N